Entry from Alexandria via LeMat-Bulk: an optimized crystal structure of Nd2AlNi4Sn3 (GGA-PBE).

```
Nd2AlNi4Sn3
1.0
4.356 0.000 0.000
0.000 4.356 0.000
0.000 0.000 10.252
Nd Al Ni Sn
2 1 4 3
Direct
0.000 0.500 0.248
0.500 0.000 0.752
0.000 0.000 0.500
0.000 0.000 0.000
0.000 0.500 0.625
0.500 0.000 0.375
0.500 0.500 0.000
0.000 0.500 0.871
0.500 0.000 0.129
0.500 0.500 0.500
```

Output
- electronic total energy (eV per atom) = -5.39
- calculated formation energy (eV per atom) = -0.55
- DOS(E_F) (states/eV/atom) = 0.712

Entry from Alexandria via LeMat-Bulk: an optimized crystal structure of TbNdAlNi (GGA-PBE).

```
TbNdAlNi
1.0
0.000 3.587 3.587
3.587 0.000 3.587
3.587 3.587 0.000
Tb Nd Al Ni
1 1 1 1
Direct
0.000 0.000 0.000
0.500 0.500 0.500
0.750 0.750 0.750
0.250 0.250 0.250
```

Output
- electronic total energy (eV per atom) = -4.97
- calculated formation energy (eV per atom) = -0.24
- DOS(E_F) (states/eV/atom) = 0.907

Entry from Alexandria via LeMat-Bulk: an optimized crystal structure of NdYAlNi (GGA-PBE).

```
NdYAlNi
1.0
0.000 3.584 3.584
3.584 0.000 3.584
3.584 3.584 0.000
Nd Y Al Ni
1 1 1 1
Direct
0.000 0.000 0.000
0.500 0.500 0.500
0.750 0.750 0.750
0.250 0.250 0.250
```

Output
- electronic total energy (eV per atom) = -5.44
- calculated formation energy (eV per atom) = -0.25
- DOS(E_F) (states/eV/atom) = 0.932

Entry from Alexandria via LeMat-Bulk: an optimized crystal structure of NdAlZn2Ni (GGA-PBE).

```
NdAlZn2Ni
1.0
-2.006 2.096 5.448
2.006 -2.096 5.448
2.006 2.096 -5.448
Nd Al Zn Ni
1 1 2 1
Direct
0.000 0.000 0.000
0.260 0.760 0.500
0.610 0.610 0.000
0.762 0.262 0.500
0.386 0.386 0.000
```

Output
- electronic total energy (eV per atom) = -3.76
- calculated formation energy (eV per atom) = -0.39
- DOS(E_F) (states/eV/atom) = 0.802

Entry from Alexandria via LeMat-Bulk: an optimized crystal structure of Nd2AlZn3Ni12 (GGA-PBE).

```
Nd2AlZn3Ni12
1.0
3.021 1.744 8.620
-3.021 1.744 8.620
0.000 -3.488 8.620
Nd Al Zn Ni
2 1 3 12
Direct
0.153 0.153 0.153
0.847 0.847 0.847
0.500 0.500 0.500
0.000 0.500 0.500
0.500 0.000 0.500
0.500 0.500 0.000
0.079 0.079 0.690
0.079 0.690 0.079
0.149 0.569 0.569
0.310 0.921 0.921
0.431 0.431 0.851
0.431 0.851 0.431
0.569 0.149 0.569
0.569 0.569 0.149
0.690 0.079 0.079
0.851 0.431 0.431
0.921 0.310 0.921
0.921 0.921 0.310
```

Output
- electronic total energy (eV per atom) = -4.75
- calculated formation energy (eV per atom) = 0.05
- DOS(E_F) (states/eV/atom) = 0.753

Entry from Alexandria via LeMat-Bulk: an optimized crystal structure of NdAl2ZnNi4 (GGA-PBE).

```
NdAl2ZnNi4
1.0
2.030 1.172 8.449
-2.030 1.172 8.449
0.000 -2.344 8.449
Nd Al Zn Ni
1 2 1 4
Direct
0.000 0.000 0.000
0.235 0.235 0.235
0.765 0.765 0.765
0.500 0.500 0.500
0.132 0.132 0.132
0.406 0.406 0.406
0.594 0.594 0.594
0.868 0.868 0.868
```

Output
- electronic total energy (eV per atom) = -5.02
- calculated formation energy (eV per atom) = -0.44
- DOS(E_F) (states/eV/atom) = 0.479

Entry from Alexandria via LeMat-Bulk: an optimized crystal structure of NdNpAl2O8 (GGA-PBE).

```
NdNpAl2O8
1.0
3.665 -3.019 0.000
3.665 3.019 0.000
-0.008 0.000 7.359
Nd Np Al O
1 1 2 8
Direct
0.000 0.000 0.000
0.000 0.000 0.500
0.500 0.500 0.180
0.500 0.500 0.820
0.229 0.771 0.272
0.229 0.771 0.728
0.247 0.247 0.501
0.329 0.329 0.000
0.671 0.671 0.000
0.753 0.753 0.499
0.771 0.229 0.272
0.771 0.229 0.728
```

Output
- electronic total energy (eV per atom) = -8.21
- ΔE_f (raw) (meV per atom) = -2800

Entry from Alexandria via LeMat-Bulk: an optimized crystal structure of Nd2NpAl2Ru5 (GGA-PBE).

```
Nd2NpAl2Ru5
1.0
10.358 0.000 0.000
0.000 10.358 0.000
0.000 0.000 3.364
Nd Np Al Ru
4 2 4 10
Direct
0.171 0.329 0.000
0.329 0.829 0.000
0.671 0.171 0.000
0.829 0.671 0.000
0.000 0.000 0.000
0.500 0.500 0.000
0.126 0.626 0.000
0.374 0.126 0.000
0.626 0.874 0.000
0.874 0.374 0.000
0.000 0.500 0.500
0.065 0.801 0.500
0.199 0.065 0.500
0.301 0.565 0.500
0.435 0.301 0.500
0.500 0.000 0.500
0.565 0.699 0.500
0.699 0.435 0.500
0.801 0.935 0.500
0.935 0.199 0.500
```

Output
- electronic total energy (eV per atom) = -7.97
- calculated formation energy (eV per atom) = -0.34
- DOS(E_F) (states/eV/atom) = 0.708

Entry from Alexandria via LeMat-Bulk: an optimized crystal structure of Nd3AlO6 (GGA-PBE).

```
Nd3AlO6
1.0
4.628 -5.793 0.000
4.628 5.793 0.000
0.000 0.000 5.570
Nd Al O
6 2 12
Direct
0.105 0.895 0.500
0.200 0.415 0.542
0.415 0.200 0.042
0.585 0.800 0.542
0.800 0.585 0.042
0.895 0.105 0.000
0.307 0.693 0.081
0.693 0.307 0.581
0.091 0.610 0.235
0.147 0.172 0.274
0.172 0.147 0.774
0.287 0.713 0.762
0.390 0.909 0.235
0.452 0.548 0.197
0.548 0.452 0.697
0.610 0.091 0.735
0.713 0.287 0.262
0.828 0.853 0.274
0.853 0.828 0.774
0.909 0.390 0.735
```

Output
- electronic total energy (eV per atom) = -8.08
- ΔE_f (raw) (meV per atom) = -3305
- DOS(E_F) (states/eV/atom) = 0.000

Entry from Alexandria via LeMat-Bulk: an optimized crystal structure of Nd2AlO (GGA-PBE).

```
Nd2AlO
1.0
1.774 1.024 9.107
-1.774 1.024 9.107
0.000 -2.048 9.107
Nd Al O
2 1 1
Direct
0.114 0.114 0.114
0.886 0.886 0.886
0.000 0.000 0.000
0.500 0.500 0.500
```

Output
- electronic total energy (eV per atom) = -5.55
- ΔE_f (raw) (meV per atom) = -988
- DOS(E_F) (states/eV/atom) = 0.701

Entry from Alexandria via LeMat-Bulk: an optimized crystal structure of NdAlO (GGA-PBE).

```
NdAlO
1.0
3.426 0.000 0.000
0.000 3.426 0.000
0.000 0.000 9.213
Nd Al O
2 2 2
Direct
0.250 0.250 0.163
0.750 0.750 0.837
0.250 0.250 0.568
0.750 0.750 0.432
0.250 0.250 0.899
0.750 0.750 0.101
```

Output
- electronic total energy (eV per atom) = -6.27
- ΔE_f (raw) (meV per atom) = -1778
- DOS(E_F) (states/eV/atom) = 0.243